(1)
Material: Y2Hf4Au3N3
Method: DFT, PBE
State: relaxed

abc: 5.7412 5.7412 14.5842
angles: 101.53 101.53 60.10
Positions (direct):
Y (0.0387, 0.8736, 0.6139)
Y (0.1264, 0.9613, 0.8861)
Y (0.8736, 0.0387, 0.1139)
Y (0.9613, 0.1264, 0.3861)
Hf (0.1920, 0.3531, 0.0816)
Hf (0.2979, 0.4826, 0.4185)
Hf (0.3531, 0.1920, 0.5816)
Hf (0.4826, 0.2979, 0.9185)
Hf (0.5174, 0.7021, 0.0815)
Hf (0.6469, 0.8080, 0.4184)
Hf (0.7021, 0.5174, 0.5815)
Hf (0.8080, 0.6469, 0.9184)
Au (0.0856, 0.3680, 0.7513)
Au (0.3680, 0.0856, 0.2513)
Au (0.4616, 0.5384, 0.2500)
Au (0.5384, 0.4616, 0.7500)
Au (0.6320, 0.9144, 0.7487)
Au (0.9144, 0.6320, 0.2487)
N (0.0000, 0.5000, 0.5000)
N (0.1711, 0.6573, 0.0000)
N (0.3427, 0.8289, 0.5000)
N (0.5000, 0.0000, 0.0000)
N (0.6573, 0.1711, 0.5000)
N (0.8289, 0.3427, 0.0000)

Output
energy	-8.449	eV/atom
SG	C2/c, No. 15



(2)
Material: Hf4Zr2Au3N3
Method: DFT, PBE
State: relaxed

abc: 5.6663 5.6663 14.3630
angles: 101.49 101.49 60.02
Positions (direct):
Hf (0.0248, 0.1999, 0.0868)
Hf (0.1411, 0.3043, 0.4132)
Hf (0.1999, 0.0248, 0.5868)
Hf (0.3043, 0.1411, 0.9132)
Hf (0.6957, 0.8589, 0.0868)
Hf (0.8001, 0.9752, 0.4132)
Hf (0.8589, 0.6957, 0.5868)
Hf (0.9752, 0.8001, 0.9132)
Zr (0.3684, 0.5328, 0.0952)
Zr (0.4672, 0.6316, 0.4048)
Zr (0.5328, 0.3684, 0.5952)
Zr (0.6316, 0.4672, 0.9048)
Au (0.0562, 0.9438, 0.2500)
Au (0.2234, 0.4161, 0.7495)
Au (0.4161, 0.2234, 0.2495)
Au (0.5839, 0.7766, 0.7505)
Au (0.7766, 0.5839, 0.2505)
Au (0.9438, 0.0562, 0.7500)
N (0.0000, 0.5000, 0.0000)
N (0.1586, 0.6705, 0.5000)
N (0.3295, 0.8414, 0.0000)
N (0.5000, 0.0000, 0.5000)
N (0.6705, 0.1586, 0.0000)
N (0.8414, 0.3295, 0.5000)

Output
energy	-8.739	eV/atom
SG	C2/c, No. 15



(3)
Material: NaHfAu
Method: DFT, PBE
State: relaxed

abc: 4.6312 4.6312 4.6312
angles: 60.00 60.00 60.00
Positions (direct):
Na (0.0000, 0.0000, 0.0000)
Hf (0.7500, 0.7500, 0.7500)
Au (0.5000, 0.5000, 0.5000)

Output
energy	-4.285	eV/atom
SG	F-43m, No. 216
energy relative to the lowest polymorph listed for this composition	0.000	eV/atom



(4)
Material: NaHfAu3S4
Method: DFT, PBE
State: relaxed

abc: 5.6777 8.4030 10.1208
angles: 90.00 99.90 90.00
Positions (direct):
Na (0.0018, 0.2500, 0.3069)
Na (0.9982, 0.7500, 0.6931)
Hf (0.0946, 0.2500, 0.7817)
Hf (0.9054, 0.7500, 0.2183)
Au (0.3348, 0.5752, 0.0743)
Au (0.3348, 0.9248, 0.0743)
Au (0.4659, 0.7500, 0.3399)
Au (0.5341, 0.2500, 0.6601)
Au (0.6652, 0.0752, 0.9257)
Au (0.6652, 0.4248, 0.9257)
S (0.0074, 0.7500, 0.9824)
S (0.1226, 0.7500, 0.4406)
S (0.3310, 0.0119, 0.7569)
S (0.3310, 0.4881, 0.7569)
S (0.6690, 0.5119, 0.2431)
S (0.6690, 0.9881, 0.2431)
S (0.8774, 0.2500, 0.5594)
S (0.9926, 0.2500, 0.0176)

Output
energy	-4.752	eV/atom
SG	P2_1/m, No. 11
energy relative to the lowest polymorph listed for this composition	0.069	eV/atom